Record 1
Below is crystalline IrCl at its relaxed geometry, with properties calculated at the PBE level.

CIF file:
```
data_IrCl
_chemical_formula_sum 'Ir4 Cl4'
_cell_length_a 4.7036
_cell_length_b 8.1832
_cell_length_c 3.7987
_cell_angle_alpha 90.00
_cell_angle_beta 90.00
_cell_angle_gamma 90.00
_space_group_name_H-M_alt 'C m c m'
_space_group_IT_number 63
_space_group_name_Hall '-C 2c 2'
loop_
_atom_site_label
_atom_site_type_symbol
_atom_site_fract_x
_atom_site_fract_y
_atom_site_fract_z
_atom_site_occupancy
Ir1 Ir 0.0000 0.1028 0.2500 1
Cl1 Cl 0.0000 0.3287 0.7500 1
```

Summary:
size of the total moment = 0.00 μB/cell
offset from the most stable computed form = 392.2 meV per atom

***

Record 2
Below is crystalline BaSn3Pd at its relaxed geometry, with properties calculated at the PBE level.

CIF file:
```
data_BaSn3Pd
_chemical_formula_sum 'Ba2 Sn6 Pd2'
_cell_length_a 4.9396
_cell_length_b 4.9396
_cell_length_c 11.4145
_cell_angle_alpha 90.00
_cell_angle_beta 90.00
_cell_angle_gamma 90.00
_space_group_name_H-M_alt 'I 4 m m'
_space_group_IT_number 107
_space_group_name_Hall 'I 4 -2'
loop_
_atom_site_label
_atom_site_type_symbol
_atom_site_fract_x
_atom_site_fract_y
_atom_site_fract_z
_atom_site_occupancy
Ba1 Ba 0.0000 0.0000 0.0000 1
Sn1 Sn 0.0000 0.0000 0.4119 1
Sn2 Sn 0.0000 0.5000 0.2483 1
Pd1 Pd 0.0000 0.0000 0.6476 1
```

Summary:
size of the total moment = 0.00 μB/cell
ΔE_f = -62.0 kJ per mole of atoms